YSc2NiBi, optimized geometry, DFT PBE; space-group type = P4/mmm; formation energy = -0.37 eV per atom; calculated volume = 25.249 A^3/atom
1.0
-2.3818 4.2561 -0.2911
-0.9033 -0.8291 -4.7296
-4.5127 -2.4373 1.2891
Ni Sc Y Bi
1 2 1 1
Cartesian
0.0000 0.0000 0.0000 Ni
-0.4517 -0.4145 -2.3648 Sc
-1.1909 2.1280 -0.1456 Sc
-2.2564 -1.2186 0.6446 Y
-3.8989 0.4949 -1.8658 Bi